Material: BaSrGaSn
Method: DFT, GGA-PBE
State: relaxed

Computed properties:
- Fermi-level density of states: 3.9 states/eV/f.u.
- Energy relative to the elements: -171 kJ/mol of formula units

```
data_BaSrGaSn
_symmetry_space_group_name_H-M 'F -4 3 m'
_symmetry_Int_Tables_number 216
_symmetry_space_group_name_Hall 'F -4 2 3'
_cell_length_a 8.1940
_cell_length_b 8.1940
_cell_length_c 8.1940
_cell_angle_alpha 90.00
_cell_angle_beta 90.00
_cell_angle_gamma 90.00
loop_
_atom_site_label
_atom_site_fract_x
_atom_site_fract_y
_atom_site_fract_z
_atom_site_occupancy
Ba1 0.0000 0.0000 0.0000 1
Sr1 0.0000 0.0000 0.5000 1
Ga1 0.2500 0.2500 0.7500 1
Sn1 0.2500 0.2500 0.2500 1
```